No. 1
# BeTeRuI2

A geometry-optimized BeTeRuI2 structure (PBE, Alexandria via LeMat-Bulk).

```
5
Lattice="-1.9294 4.4777 2.7181 -3.8711 0.7326 -3.9546 -3.1577 -2.9098 2.5520" Properties=species:S:1:pos:R:3 pbc="T T T"
Ru 0.0000 0.0000 0.0000
Te -1.5789 -1.4549 1.2760
Be -4.4791 1.1503 0.6578
I -0.9647 2.2389 1.3591
I -1.9355 0.3663 -1.9773
```

Energy relative to the elements, uncorrected in meV per atom: 864


No. 2
# LiPaTlS3

A geometry-optimized LiPaTlS3 structure (PBE, Alexandria via LeMat-Bulk).

```
12
Lattice="-2.2131 1.2286 -3.1830 -5.2970 -7.0419 0.9649 -3.6929 6.5197 5.0841" Properties=species:S:1:pos:R:3 pbc="T T T"
Tl -2.5450 0.5103 0.6675
S -4.6880 -1.3075 -1.1421
Pa -4.6970 -3.4169 0.6479
Tl -8.6580 0.1961 2.1986
Pa -6.5060 4.1233 2.2181
S -6.7155 -4.3576 -0.9097
S -4.4874 5.0640 3.7757
S -4.7301 3.0576 0.5720
Li -8.0509 -2.9522 0.5613
Li -3.1520 3.6586 2.3048
S -6.5149 2.0139 4.0082
S -6.4728 -2.3512 2.2940
```

Energy relative to the elements, uncorrected in meV per atom: -1239


No. 3
# AlTl3Hg

A geometry-optimized AlTl3Hg structure (PBE, Alexandria via LeMat-Bulk).

```
5
Lattice="5.7345 0.0000 0.0000 0.0000 5.7345 0.0000 0.0000 0.0000 5.7345" Properties=species:S:1:pos:R:3 pbc="T T T"
Tl 2.8673 0.0000 0.0000
Hg 0.0000 0.0000 0.0000
Al 2.8673 2.8673 2.8673
Tl 0.0000 0.0000 2.8673
Tl 0.0000 2.8673 0.0000
```

Formation energy in eV per atom: 0.561


No. 4
# BaCuAu2

A geometry-optimized BaCuAu2 structure (PBE, Alexandria via LeMat-Bulk).

```
8
Lattice="5.2563 0.0000 0.0000 0.0000 5.2563 0.0000 2.6281 2.6281 8.7253" Properties=species:S:1:pos:R:3 pbc="T T T"
Ba 5.2563 2.6281 4.3627
Au 2.6228 3.9422 2.1813
Cu 2.6281 2.6281 0.0000
Au 3.9422 5.2509 6.5440
Au 2.6335 1.3141 2.1813
Ba 0.0000 0.0000 0.0000
Au 6.5704 5.2617 6.5440
Cu 2.6281 5.2563 4.3627
```

Formation energy in eV per atom: -0.330